# Na2PmInTe4 PBE relaxed
data_Na2PmInTe4
_chemical_formula_sum 'Na2 Pm1 In1 Te4'
_cell_length_a 7.761
_cell_length_b 4.402
_cell_length_c 8.041
_cell_angle_alpha 90.00
_cell_angle_beta 108.71
_cell_angle_gamma 90.00
_symmetry_space_group_name_H-M 'P 1 2/m 1'
_symmetry_Int_Tables_number 10
loop_
_symmetry_equiv_pos_as_xyz
'x,y,z'
'-x,-y,-z'
'-x,y,-z'
'x,-y,z'
loop_
_atom_site_label
_atom_site_fract_x
_atom_site_fract_y
_atom_site_fract_z
Na1 0.000 0.000 0.000
Na2 0.500 0.500 0.000
Pm1 0.000 0.500 0.500
In1 0.500 0.000 0.500
Te1 0.247 0.000 0.740
Te2 0.274 0.500 0.276
# Volume (Å³/atom): 32.5
# Calculated total energy (eV for the cell shown): -29.91
# Total magnetization (μB per formula unit): 0.00